[1]
## Na3TlTe3 (PBE)

Data for a relaxed Na3TlTe3 crystal.

Cell: 8.4052 8.4052 7.8387 Å, 92.67 92.67 115.56°
Atoms (fractional coordinates):
Na 0.1728 0.8272 0.0000
Na 0.2308 0.7692 0.5000
Na 0.4331 0.4331 0.1767
Na 0.5669 0.5669 0.8233
Na 0.7692 0.2308 0.5000
Na 0.8272 0.1728 0.0000
Tl 0.1998 0.1998 0.6197
Tl 0.8002 0.8002 0.3803
Te 0.1099 0.1099 0.2547
Te 0.1507 0.4836 0.7740
Te 0.4836 0.1507 0.7740
Te 0.5164 0.8493 0.2260
Te 0.8493 0.5164 0.2260
Te 0.8901 0.8901 0.7453

Values from the calculation:
uncorrected energy: -2.82 eV per atom
SG: No. 12
excess energy over the best structure of this formula in the dataset: 28 meV per atom
total magnetic moment: 0.000 μB per atom
crystal system: monoclinic

***

[2]
## Zr5Zn (PBE)

Data for a relaxed Zr5Zn crystal.

Cell: 5.8684 5.8684 4.9434 Å, 90.00 90.00 120.00°
Atoms (fractional coordinates):
Zr 0.0000 0.5000 0.0000
Zr 0.3333 0.6667 0.5000
Zr 0.5000 0.0000 0.0000
Zr 0.5000 0.5000 0.0000
Zr 0.6667 0.3333 0.5000
Zn 0.0000 0.0000 0.5000

Values from the calculation:
uncorrected energy: -6.74 eV per atom
energy of formation from the pure elements: 0.60 eV/atom
SG: No. 191
excess energy over the best structure of this formula in the dataset: 665 meV per atom
total magnetic moment: 0.000 μB per atom
crystal system: hexagonal

***

[3]
## Rb2CdIrCl6 (PBE)

Data for a relaxed Rb2CdIrCl6 crystal.

Cell: 7.2697 7.2697 7.2697 Å, 119.90 119.90 90.18°
Atoms (fractional coordinates):
Rb 0.2500 0.7500 0.5000
Rb 0.7500 0.2500 0.5000
Cd 0.0000 0.0000 0.0000
Ir 0.5000 0.5000 0.0000
Cl 0.2647 0.2647 0.0000
Cl 0.2656 0.2656 0.5312
Cl 0.2656 0.7344 0.0000
Cl 0.7344 0.2656 0.0000
Cl 0.7344 0.7344 0.4688
Cl 0.7353 0.7353 0.0000

Values from the calculation:
uncorrected energy: -3.38 eV per atom
SG: No. 139
total magnetic moment: 0.000 μB per atom
crystal system: tetragonal

***

[4]
## PmPr8Dy2 (PBE)

Data for a relaxed PmPr8Dy2 crystal.

Cell: 9.2336 9.2336 6.7675 Å, 99.20 99.20 43.65°
Atoms (fractional coordinates):
Pm 0.0000 0.0000 0.0000
Pr 0.1737 0.6514 0.5910
Pr 0.2449 0.2449 0.3207
Pr 0.3486 0.8263 0.4090
Pr 0.4050 0.4050 0.0837
Pr 0.5950 0.5950 0.9163
Pr 0.6514 0.1737 0.5910
Pr 0.7551 0.7551 0.6793
Pr 0.8263 0.3486 0.4090
Dy 0.1983 0.1983 0.8094
Dy 0.8017 0.8017 0.1906

Values from the calculation:
uncorrected energy: -4.58 eV per atom
energy of formation from the pure elements: 0.16 eV/atom
SG: No. 12
excess energy over the best structure of this formula in the dataset: 51 meV per atom
total magnetic moment: 0.000 μB per atom
crystal system: monoclinic

***

[5]
## CeNdHoPb (PBE)

Data for a relaxed CeNdHoPb crystal.

Cell: 5.5008 5.5008 5.5008 Å, 60.00 60.00 60.00°
Atoms (fractional coordinates):
Ce 0.0000 0.0000 0.0000
Nd 0.2500 0.2500 0.2500
Ho 0.7500 0.7500 0.7500
Pb 0.5000 0.5000 0.5000

Values from the calculation:
uncorrected energy: -4.81 eV per atom
energy of formation from the pure elements: -0.07 eV/atom
SG: No. 216
total magnetic moment: 0.136 μB per atom
crystal system: cubic

***

[6]
## ZnTeCl2 (PBE)

Data for a relaxed ZnTeCl2 crystal.

Cell: 11.7694 11.7694 11.7694 Å, 16.74 16.74 16.74°
Atoms (fractional coordinates):
Zn 0.0000 0.0000 0.0000
Te 0.5000 0.5000 0.5000
Cl 0.2920 0.2920 0.2920
Cl 0.7080 0.7080 0.7080

Values from the calculation:
uncorrected energy: -2.65 eV per atom
SG: No. 166
excess energy over the best structure of this formula in the dataset: 0 meV per atom
total magnetic moment: 0.092 μB per atom
crystal system: trigonal